{
  "formula": "MoPt2W",
  "functional": "PBE",
  "state": "relaxed",
  "cell": [[2.765, 0.002, 0.000], [-0.005, 2.765, 0.000], [0.000, 0.000, 8.263]],
  "species": ["Mo", "W", "Pt", "Pt"],
  "frac_coords": [[0.500, 0.500, 0.759], [0.000, 0.000, 0.491], [0.000, 0.000, 0.990], [0.500, 0.500, 0.259]],
  "e_tot_ev_per_atom": -9.165,
  "e_form_ev_per_atom": -0.199,
  "relative_energy_ev_per_fu": 0.40
}